BaBe2Au at its PBEsol-relaxed geometry, computed with meta-GGA SCAN.

Lattice parameters (Å, degrees): 3.0550 4.9100 4.9100 90.00 90.00 90.00
Fractional coordinates of all 4 atoms:
Be  0.0000  0.0000  0.5000
Be  0.0000  0.5000  0.0000
Au  0.5000  0.5000  0.5000
Ba  0.5000  0.0000  0.0000

Summary:
Calculated density: 7.94 g/cm3
Energy of formation from the pure elements: 825.3 meV/atom